Entry 1:
A plane-wave DFT calculation with PBE-GGA was carried out for crystalline PrErPu at its relaxed geometry.

## Properties
Its formation energy is 0.14 eV per atom. As for the total energy: -7.748 eV per atom. Its density of states at the Fermi level is 8.5 states/eV/cell.

Cell lengths 3.5645, 3.5645, 8.6146 Å; angles 90.00, 90.00, 120.00 degrees
Atoms (fractional coordinates):
Pr (0.0000, 0.0000, 0.0000)
Er (0.3333, 0.6667, 0.6585)
Pu (0.6667, 0.3333, 0.3367)


Entry 2:
A plane-wave DFT calculation with PBE-GGA was carried out for crystalline Pr2Er3PuS6 at its relaxed geometry.

## Properties
As for the total energy: -7.163 eV per atom. For the formation energy without anion corrections, the calculation gives -1967 meV per atom. Its density of states at the Fermi level is 8.3 states/eV/cell.

Cell lengths 8.8966, 8.8966, 8.0188 Å; angles 104.16, 104.16, 25.44 degrees
Atoms (fractional coordinates):
Pr (0.1658, 0.1658, 0.3322)
Pr (0.8342, 0.8342, 0.6678)
Er (0.1672, 0.1672, 0.8361)
Er (0.5000, 0.5000, 0.5000)
Er (0.8328, 0.8328, 0.1639)
Pu (0.5000, 0.5000, 0.0000)
S (0.0051, 0.0051, 0.7465)
S (0.3314, 0.3314, 0.9291)
S (0.3381, 0.3381, 0.4034)
S (0.6619, 0.6619, 0.5966)
S (0.6686, 0.6686, 0.0709)
S (0.9949, 0.9949, 0.2535)


Entry 3:
A plane-wave DFT calculation with PBE-GGA was carried out for crystalline Pr2ErPuS4 at its relaxed geometry.

## Properties
As for the total energy: -7.578 eV per atom. For the formation energy without anion corrections, the calculation gives -1957 meV per atom. Its density of states at the Fermi level is 8.4 states/eV/cell.

Cell lengths 6.9214, 3.9784, 6.9985 Å; angles 90.00, 109.02, 90.00 degrees
Atoms (fractional coordinates):
Pr (0.0000, 0.0000, 0.0000)
Pr (0.5000, 0.5000, 0.0000)
Er (0.0000, 0.5000, 0.5000)
Pu (0.5000, 0.0000, 0.5000)
S (0.2398, 0.0000, 0.7314)
S (0.2522, 0.5000, 0.2663)
S (0.7478, 0.5000, 0.7337)
S (0.7602, 0.0000, 0.2686)